Density functional theory data (GGA-PBE) for CsSmZn2F8 after structural relaxation.

Output
**Calculated total energy**: -4.848 eV/atom
**Size of the total moment**: 0.01 μB/atom

Lattice parameters (Å, degrees): 5.4544 5.4544 28.2625 90.00 90.00 120.00
Space group R32 (No. 155, hexagonal axes)
Inequivalent atoms, fractional coordinates:
1 Cs 0.0000 0.0000 0.0000 (multiplicity 3)
2 Sm 0.0000 0.0000 0.5000 (multiplicity 3)
3 Zn 0.0000 0.0000 0.2470 (multiplicity 6)
4 F 0.0000 0.0000 0.3128 (multiplicity 6)
5 F 0.0017 0.3578 0.1160 (multiplicity 18)